1.
The following is a PBE calculation of Ti8AlCo2 after structural relaxation, from the Alexandria database.

For the formation enthalpy at 0 K, the calculation gives -104.1 kJ/mol of formula units. The value obtained for the final energy is -7.472 eV/atom.

The structure belongs to space group C2/m (No. 12); the cell edges are 7.355, 11.725 and 4.313 Å and the angles 90.00°, 106.11° and 90.00°. Symmetry generates all atoms from Ti at (0.000, 0.238, 0.000), Ti at (0.111, 0.500, 0.814), Ti at (0.198, 0.118, 0.579), Al at (0.000, 0.000, 0.000) and Co at (0.000, 0.317, 0.500).



2.
The following is a PBE calculation of CaMoAu3 after structural relaxation, from the Alexandria database.

For the formation enthalpy at 0 K, the calculation gives 172.3 kJ/mol of formula units. The value obtained for the final energy is -4.176 eV/atom.

The structure belongs to space group Pm-3m (No. 221); the cell edges are 5.081, 5.081 and 5.081 Å and the angles 90.00°, 90.00° and 90.00°. Symmetry generates all atoms from Ca at (0.000, 0.000, 0.000), Mo at (0.500, 0.500, 0.500) and Au at (0.000, 0.500, 0.500).



3.
The following is a PBE calculation of Li3SiRu after structural relaxation, from the Alexandria database.

The calculation puts the raw formation energy at 0.89 eV/atom. The value obtained for the final energy is -3.194 eV/atom.

The structure belongs to space group Pm-3m (No. 221); the cell edges are 4.479, 4.479 and 4.479 Å and the angles 90.00°, 90.00° and 90.00°. Symmetry generates all atoms from Li at (0.000, 0.000, 0.500), Si at (0.000, 0.000, 0.000) and Ru at (0.500, 0.500, 0.500).



4.
The following is a PBE calculation of DyNi5Sn2 after structural relaxation, from the Alexandria database.

For the formation enthalpy at 0 K, the calculation gives -204.7 kJ/mol of formula units. The value obtained for the final energy is -5.455 eV/atom.

The structure belongs to space group Immm (No. 71); the cell edges are 3.709, 6.401 and 10.918 Å and the angles 90.00°, 90.00° and 90.00°. Symmetry generates all atoms from Dy at (0.000, 0.000, 0.000), Ni at (0.000, 0.193, 0.388), Ni at (0.000, 0.500, 0.000) and Sn at (0.000, 0.500, 0.241).



5.
The following is a PBE calculation of CaBeSiGe2 after structural relaxation, from the Alexandria database.

The calculation puts the raw formation energy at 0.72 eV/atom. The value obtained for the final energy is -3.354 eV/atom.

The structure belongs to space group P4/mmm (No. 123); the cell edges are 4.757, 4.757 and 5.478 Å and the angles 90.00°, 90.00° and 90.00°. Symmetry generates all atoms from Ca at (0.000, 0.000, 0.000), Be at (0.500, 0.500, 0.000), Si at (0.000, 0.000, 0.500) and Ge at (0.000, 0.500, 0.500).



6.
The following is a PBE calculation of Nd2SnBi4 after structural relaxation, from the Alexandria database.

For the formation enthalpy at 0 K, the calculation gives -309.1 kJ/mol of formula units. The value obtained for the final energy is -4.609 eV/atom.

The structure belongs to space group C2/m (No. 12); the cell edges are 9.172, 10.068 and 6.762 Å and the angles 90.00°, 132.34° and 90.00°. Symmetry generates all atoms from Nd at (0.250, 0.250, 0.000), Sn at (0.000, 0.000, 0.500), Bi at (0.000, 0.000, 0.000), Bi at (0.000, 0.500, 0.000) and Bi at (0.250, 0.250, 0.500).



7.
The following is a PBE calculation of LiBiIr after structural relaxation, from the Alexandria database.

For the formation enthalpy at 0 K, the calculation gives -65.9 kJ/mol of formula units. The value obtained for the final energy is -5.113 eV/atom.

The structure belongs to space group I4/mmm (No. 139); the cell edges are 4.243, 4.243 and 13.087 Å and the angles 90.00°, 90.00° and 90.00°. Symmetry generates all atoms from Li at (0.000, 0.000, 0.118), Bi at (0.000, 0.000, 0.360) and Ir at (0.000, 0.500, 0.000).



8.
The following is a PBE calculation of SrAsIr after structural relaxation, from the Alexandria database.

For the formation enthalpy at 0 K, the calculation gives 224.4 kJ/mol of formula units. The value obtained for the final energy is -4.289 eV/atom.

The structure belongs to space group F-43m (No. 216); the cell edges are 6.815, 6.815 and 6.815 Å and the angles 90.00°, 90.00° and 90.00°. Symmetry generates all atoms from Sr at (0.000, 0.000, 0.000), As at (0.250, 0.250, 0.250) and Ir at (0.250, 0.250, 0.750).



9.
The following is a PBE calculation of TbNp2Se4 after structural relaxation, from the Alexandria database.

The calculation puts the raw formation energy at -1.33 eV/atom. The value obtained for the final energy is -7.678 eV/atom.

The structure belongs to space group Cmcm (No. 63); the cell edges are 3.979, 13.528 and 13.890 Å and the angles 90.00°, 90.00° and 90.00°. Symmetry generates all atoms from Tb at (0.000, 0.120, 0.250), Np at (0.000, 0.365, 0.068), Se at (0.000, 0.000, 0.000), Se at (0.000, 0.279, 0.626) and Se at (0.000, 0.466, 0.250).



10.
The following is a PBE calculation of Li2MoRu after structural relaxation, from the Alexandria database.

For the formation enthalpy at 0 K, the calculation gives 114.4 kJ/mol of formula units. The value obtained for the final energy is -5.687 eV/atom.

The structure belongs to space group C2/m (No. 12); the cell edges are 5.080, 9.360 and 2.540 Å and the angles 90.00°, 105.65° and 90.00°. Symmetry generates all atoms from Li at (0.250, 0.250, 0.000), Mo at (0.000, 0.000, 0.500) and Ru at (0.000, 0.500, 0.500).



11.
The following is a PBE calculation of AcMg2InPd after structural relaxation, from the Alexandria database.

For the formation enthalpy at 0 K, the calculation gives -209.9 kJ/mol of formula units. The value obtained for the final energy is -3.481 eV/atom.

The structure belongs to space group Imm2 (No. 44); the cell edges are 4.323, 4.500 and 13.202 Å and the angles 90.00°, 90.00° and 90.00°. Symmetry generates all atoms from Ac at (0.000, 0.000, 0.000), Mg at (0.000, 0.000, 0.377), Mg at (0.000, 0.500, 0.220), In at (0.000, 0.500, 0.722) and Pd at (0.000, 0.000, 0.582).



DOS at the Fermi energy (computed, states/eV/atom): 1.463, 0.905, 1.298, 0.742, 0.462, 0.609, 0.323, 1.277, 2.865, 0.646, 0.615